VASP calculation (PBE) on a geometry-optimized La2Pm3Nd6Tl structure.

Magnetization = 0.000 μB/cell
Volume = 34.0 Å³/atom
Raw total energy = -4.6300 eV/atom
D(E_F) = 16.34 states/eV per cell

Cell lengths 6.291, 6.291, 12.103 Å; angles 95.05, 95.05, 120.09 degrees
Fractional coordinates of all 12 atoms:
La  0.334  0.666  0.000
Pm  0.500  0.500  0.500
Pm  0.832  0.168  0.500
Nd  0.593  0.918  0.751
Nd  0.082  0.407  0.249
Nd  0.758  0.758  0.250
Tl  0.000  0.000  0.000
La  0.666  0.334  0.000
Nd  0.407  0.082  0.249
Nd  0.242  0.242  0.750
Pm  0.168  0.832  0.500
Nd  0.918  0.593  0.751